No. 1
This record from Alexandria via LeMat-Bulk describes crystalline BeNb2In at its relaxed geometry. The functional is PBE-GGA.

abc: 5.7852 5.7852 5.7852
angles: 102.85 102.85 123.71
Sites, in units of the cell vectors:
Be: 0.0000 0.0000 0.0000
Be: 0.7500 0.2500 0.5000
Nb: 0.0946 0.6250 0.9696
Nb: 0.3750 0.3446 0.4696
Nb: 0.6554 0.1250 0.0304
Nb: 0.8750 0.9054 0.5304
In: 0.2500 0.7500 0.5000
In: 0.5000 0.5000 0.0000

Results
Energy relative to the elements: 0.447 eV per atom
Fermi-level density of states: 3.4 states/eV/f.u.
Total energy: -6.20 eV/atom
Relative energy among the computed polymorphs: 220 meV per atom
Space group: I-42d (122)



No. 2
This record from Alexandria via LeMat-Bulk describes crystalline Be3NbIn at its relaxed geometry. The functional is PBE-GGA.

abc: 4.3253 4.3253 4.3253
angles: 90.00 90.00 90.00
Sites, in units of the cell vectors:
Be: 0.0000 0.0000 0.5000
Be: 0.0000 0.5000 0.0000
Be: 0.5000 0.0000 0.0000
Nb: 0.5000 0.5000 0.5000
In: 0.0000 0.0000 0.0000

Results
Energy relative to the elements: 1.356 eV per atom
Fermi-level density of states: 3.4 states/eV/f.u.
Total energy: -3.44 eV/atom
Relative energy among the computed polymorphs: 19 meV per atom
Space group: Pm-3m (221)



No. 3
This record from Alexandria via LeMat-Bulk describes crystalline BeNb2In at its relaxed geometry. The functional is PBE-GGA.

abc: 7.7155 7.7155 7.7155
angles: 24.72 24.72 24.72
Sites, in units of the cell vectors:
Be: 0.0000 0.0000 0.0000
Nb: 0.2726 0.2726 0.2726
Nb: 0.7274 0.7274 0.7274
In: 0.5000 0.5000 0.5000

Results
Energy relative to the elements: 0.226 eV per atom
Fermi-level density of states: 3.8 states/eV/f.u.
Total energy: -6.42 eV/atom
Relative energy among the computed polymorphs: 0 meV per atom
Space group: R-3m (166)



No. 4
This record from Alexandria via LeMat-Bulk describes crystalline BeNbIn3 at its relaxed geometry. The functional is PBE-GGA.

abc: 5.4535 5.4535 5.4535
angles: 90.00 90.00 90.00
Sites, in units of the cell vectors:
Be: 0.0000 0.0000 0.0000
Nb: 0.5000 0.5000 0.5000
In: 0.0000 0.5000 0.5000
In: 0.5000 0.0000 0.5000
In: 0.5000 0.5000 0.0000

Results
Energy relative to the elements: 1.170 eV per atom
Fermi-level density of states: 4.4 states/eV/f.u.
Total energy: -3.23 eV/atom
Relative energy among the computed polymorphs: 320 meV per atom
Space group: Pm-3m (221)